No. 1
DFT (PBE) results for BPtSCl2 after structural relaxation.

POSCAR file:
```
BPtSCl2
1.0
4.9947 0.0000 0.0000
0.0000 4.5580 0.0000
0.0000 0.0000 4.9947
Cl Pt S B
2 1 1 1
Cartesian
2.4974 0.0000 0.0000 Cl
0.0000 0.0000 2.4974 Cl
0.0000 0.0000 0.0000 Pt
0.0000 2.2790 0.0000 S
2.4974 2.2790 2.4974 B
```

The calculation puts the density of states at the Fermi level at 0.76 states/eV/atom. The space group is P4/mmm, No. 123. As for the energy above the lowest structure with this stoichiometry: 108 meV per atom.

---

No. 2
DFT (PBE) results for BPtSCl2 after structural relaxation.

POSCAR file:
```
BPtSCl2
1.0
-3.6493 -1.3585 -0.5416
0.9825 -3.3558 1.7972
-1.4835 2.0991 4.7305
Cl B S Pt
2 1 1 1
Cartesian
-1.8246 -0.6793 -0.2708 Cl
0.4913 -1.6779 0.8986 Cl
0.0000 0.0000 0.0000 B
-0.7417 1.0495 2.3652 S
-2.0751 -1.3076 2.9930 Pt
```

The calculation puts the density of states at the Fermi level at 0.84 states/eV/atom. The space group is P4/mmm, No. 123. As for the energy above the lowest structure with this stoichiometry: 0 meV per atom.

---

No. 3
DFT (PBE) results for BPtS2Cl after structural relaxation.

POSCAR file:
```
BPtS2Cl
1.0
-4.4230 -1.4828 -0.3349
1.5049 -4.1253 -1.6095
0.2309 -1.7510 4.7038
Pt S B Cl
1 2 1 1
Cartesian
0.0000 0.0000 0.0000 Pt
-2.2115 -0.7414 -0.1674 S
0.7524 -2.0627 -0.8048 S
-1.3436 -3.6796 1.3797 B
0.1154 -0.8755 2.3519 Cl
```

The calculation puts the density of states at the Fermi level at 1.01 states/eV/atom. The space group is P4/mmm, No. 123. As for the energy above the lowest structure with this stoichiometry: 288 meV per atom.

---

No. 4
DFT (PBE) results for BPtS2Cl after structural relaxation.

POSCAR file:
```
BPtS2Cl
1.0
4.3718 0.0000 0.0000
0.0000 4.3718 0.0000
0.0000 0.0000 3.8721
Pt S B Cl
1 2 1 1
Cartesian
2.1859 2.1859 1.9360 Pt
2.1859 0.0000 0.0000 S
0.0000 2.1859 0.0000 S
0.0000 0.0000 0.0000 B
0.0000 0.0000 1.9360 Cl
```

The calculation puts the density of states at the Fermi level at 0.55 states/eV/atom. The space group is P4/mmm, No. 123. As for the energy above the lowest structure with this stoichiometry: 0 meV per atom.

---

No. 5
DFT (PBE) results for RbBCl2 after structural relaxation.

POSCAR file:
```
RbBCl2
1.0
-6.2667 0.1295 -1.1104
0.0510 -6.2831 -1.0201
-4.2743 -4.1350 5.3939
Rb B Cl
2 2 4
Cartesian
0.0000 0.0000 0.0000 Rb
-6.8244 -3.5412 1.6091 Rb
-3.1079 -3.0768 -1.0653 B
-3.6656 -6.7475 1.6542 B
-5.5308 -6.1223 3.1306 Cl
-8.6503 -7.7723 2.2970 Cl
-2.5316 -4.9298 0.4460 Cl
-4.2673 -1.7529 0.6530 Cl
```

The calculation puts the density of states at the Fermi level at 0.00 states/eV/atom. The space group is I-42d, No. 122. As for the energy above the lowest structure with this stoichiometry: 0 meV per atom.

---

No. 6
DFT (PBE) results for RbB3Cl after structural relaxation.

POSCAR file:
```
RbB3Cl
1.0
6.3110 0.0000 0.0000
0.0000 6.3110 0.0000
0.0000 0.0000 6.3110
Cl B Rb
1 3 1
Cartesian
3.1555 3.1555 3.1555 Cl
3.1555 0.0000 0.0000 B
0.0000 3.1555 0.0000 B
0.0000 0.0000 3.1555 B
0.0000 0.0000 0.0000 Rb
```

The calculation puts the density of states at the Fermi level at 0.50 states/eV/atom. The space group is Pm-3m, No. 221. As for the energy above the lowest structure with this stoichiometry: 785 meV per atom.

---

No. 7
DFT (PBE) results for RbB2Cl8 after structural relaxation.

POSCAR file:
```
RbB2Cl8
1.0
6.7193 0.0000 0.0000
-3.3597 5.2376 -2.5341
0.0000 0.7442 9.8829
Cl B Rb
8 2 1
Cartesian
3.3597 3.6495 2.8964 Cl
5.1967 2.6214 7.0321 Cl
3.3597 0.9914 1.4673 Cl
1.8371 3.3604 0.3166 Cl
0.0000 2.3323 4.4523 Cl
-1.8371 3.3604 0.3166 Cl
0.0000 4.9905 5.8814 Cl
1.5226 2.6214 7.0321 Cl
0.0000 3.1467 6.1016 B
3.3597 2.8351 1.2471 B
0.0000 0.0000 0.0000 Rb
```

The calculation puts the density of states at the Fermi level at 0.95 states/eV/atom. The space group is C2/m, No. 12. As for the energy above the lowest structure with this stoichiometry: 0 meV per atom.

---

No. 8
DFT (PBE) results for RbBCl2 after structural relaxation.

POSCAR file:
```
RbBCl2
1.0
2.9195 0.0000 7.9347
-1.4598 2.5284 7.9347
-1.4598 -2.5284 7.9347
B Rb Cl
1 1 2
Cartesian
0.0000 0.0000 0.0000 B
0.0000 0.0000 11.9020 Rb
0.0000 0.0000 21.5099 Cl
0.0000 0.0000 2.2941 Cl
```

The calculation puts the density of states at the Fermi level at 0.00 states/eV/atom. The space group is R-3m, No. 166. As for the energy above the lowest structure with this stoichiometry: 84 meV per atom.

---

No. 9
DFT (PBE) results for RbB3Cl after structural relaxation.

POSCAR file:
```
RbB3Cl
1.0
4.8759 0.0000 0.0000
0.0000 4.8759 0.0000
0.0000 0.0000 4.8759
Cl B Rb
1 3 1
Cartesian
0.0000 0.0000 0.0000 Cl
2.4380 0.0000 0.0000 B
0.0000 0.0000 2.4380 B
0.0000 2.4380 0.0000 B
2.4380 2.4380 2.4380 Rb
```

The calculation puts the density of states at the Fermi level at 0.60 states/eV/atom. The space group is Pm-3m, No. 221. As for the energy above the lowest structure with this stoichiometry: 0 meV per atom.

---

No. 10
DFT (PBE) results for RbB2Cl6 after structural relaxation.

POSCAR file:
```
RbB2Cl6
1.0
8.0391 0.8948 0.8663
3.4159 8.8654 0.0311
3.4159 0.3183 8.8598
Cl B Rb
12 4 2
Cartesian
4.5814 1.9283 1.4070 Cl
11.0143 9.0683 5.5171 Cl
12.3373 6.5740 6.6825 Cl
8.3178 6.4446 5.9209 Cl
3.8567 1.0102 4.2400 Cl
6.9947 5.3606 8.4517 Cl
2.5336 3.5045 3.0746 Cl
7.8763 4.7179 1.3055 Cl
10.2896 8.1503 8.3501 Cl
6.5532 3.6339 3.8362 Cl
8.6010 1.9162 2.3148 Cl
6.2700 8.1624 7.4423 Cl
3.8135 2.2932 2.9817 B
7.8331 3.5018 2.6285 B
7.0379 6.5767 7.1286 B
11.0574 7.7854 6.7754 B
5.4257 2.3252 7.2344 Rb
9.4453 7.7534 2.5227 Rb
```

The calculation puts the density of states at the Fermi level at 0.09 states/eV/atom. The space group is C2/c, No. 15. For the uncorrected energy, the calculation gives -3.7521 eV per atom.

---

No. 11
DFT (PBE) results for RbBCl2 after structural relaxation.

POSCAR file:
```
RbBCl2
1.0
-6.3535 -4.9986 -3.6718
-3.7781 -7.8252 -1.8241
-6.7088 -5.7959 0.4845
B Rb Cl
1 1 2
Cartesian
-8.4202 -9.3098 -2.5057 B
0.0000 0.0000 0.0000 Rb
-14.9124 -16.4879 -4.4376 Cl
-1.9280 -2.1317 -0.5737 Cl
```

The calculation puts the density of states at the Fermi level at 0.00 states/eV/atom. The space group is R-3m, No. 166. As for the energy above the lowest structure with this stoichiometry: 383 meV per atom.

---

No. 12
DFT (PBE) results for Rb2B2Cl7 after structural relaxation.

POSCAR file:
```
Rb2B2Cl7
1.0
5.6522 1.2276 1.4034
1.1176 8.4197 0.4037
1.1176 -0.7199 8.3986
Rb B Cl
2 2 7
Cartesian
1.1176 6.7902 1.8292 Rb
1.1176 0.9097 6.9732 Rb
5.5397 6.8520 7.8331 B
2.3478 2.0755 2.3726 B
3.9564 2.6495 3.0288 Cl
1.3785 3.4120 1.5634 Cl
3.9310 6.2780 7.1770 Cl
6.5090 7.8319 6.6161 Cl
6.5090 5.5155 8.6424 Cl
1.3785 1.0956 3.5896 Cl
2.8261 0.6138 0.7017 Cl
```

The space group is C2/m, No. 12. For the uncorrected energy, the calculation gives -3.6628 eV per atom.

---

For reference, calculated density by record: 4.51; 6.16; 4.62; 6.85; 2.06; 1.01; 1.80; 1.58; 2.20; 1.83; 2.08; 1.95 Mg/m³.